No. 1
RbCr2Ga2: relaxed, PBE.

abc: 5.017 5.017 5.468
angles: 62.70 62.70 90.00
Element x y z (fractional)
Cr (0.391, 0.391, 0.219)
Cr (0.609, 0.609, 0.781)
Ga (0.750, 0.250, 0.500)
Ga (0.250, 0.750, 0.500)
Rb (0.000, 0.000, 0.000)

Summary:
As for the space group: No. 139. The distance to the lowest polymorph of the same formula is 200.1 meV/atom. The value obtained for the size of the total moment is 0.0 μB/cell. The calculation puts the energy relative to the elements at 0.7261 eV per atom.


No. 2
RbCr2Ga: relaxed, PBE.

abc: 5.696 5.696 9.475
angles: 72.51 72.51 90.00
Last column: magnetic moment on the atom in μB.
Element x y z (fractional)
Cr (0.375, 0.125, 0.250)  3.86
Cr (0.375, 0.625, 0.250)  3.86
Cr (0.375, 0.625, 0.750)  3.85
Cr (0.875, 0.625, 0.750)  3.85
Ga (0.500, 0.500, 0.000)  -0.14
Ga (0.250, 0.750, 0.500)  -0.14
Rb (0.000, 0.000, 0.000)  0.01
Rb (0.750, 0.250, 0.500)  0.01

Summary:
As for the space group: No. 141. The value obtained for the size of the total moment is 17.2 μB/cell. The calculation puts the energy relative to the elements at 0.9919 eV per atom.


No. 3
RbCrGa2: relaxed, PBE.

abc: 3.629 4.453 14.328
angles: 83.12 83.97 68.21
Element x y z (fractional)
Cr (0.351, 0.837, 0.979)
Cr (0.649, 0.163, 0.021)
Ga (0.928, 0.558, 0.095)
Ga (0.072, 0.442, 0.905)
Ga (0.202, 0.954, 0.164)
Ga (0.798, 0.046, 0.836)
Rb (0.520, 0.699, 0.662)
Rb (0.480, 0.301, 0.338)

Summary:
As for the space group: No. 2. The distance to the lowest polymorph of the same formula is 42.8 meV/atom. The value obtained for the size of the total moment is 0.0 μB/cell. The calculation puts the energy relative to the elements at 0.1042 eV per atom.


No. 4
RbCr2Ga2: relaxed, PBE.

abc: 8.236 8.236 2.728
angles: 90.00 90.00 90.00
Last column: magnetic moment on the atom in μB.
Element x y z (fractional)
Cr (0.409, 0.909, 0.000)  0.40
Cr (0.909, 0.591, 0.000)  0.41
Cr (0.591, 0.091, 0.000)  0.41
Cr (0.091, 0.409, 0.000)  0.41
Ga (0.177, 0.677, 0.500)  -0.01
Ga (0.677, 0.823, 0.500)  -0.01
Ga (0.823, 0.323, 0.500)  -0.01
Ga (0.323, 0.177, 0.500)  -0.02
Rb (0.000, 0.000, 0.000)  0.00
Rb (0.500, 0.500, 0.000)  0.00

Summary:
As for the space group: No. 127. The distance to the lowest polymorph of the same formula is 0.0 meV/atom. The value obtained for the size of the total moment is 1.6 μB/cell. The calculation puts the energy relative to the elements at 0.5260 eV per atom.